No. 1
# NbMoW | Alexandria | GGA-PBEsol | relaxed
# Energy of formation from the pure elements (eV/atom): -0.0519
# Fermi-level density of states (states/eV/f.u.): 1.51
# Total magnetization (μB per atom): 0.000
data_NbMoW
_chemical_formula_sum 'Nb1 Mo1 W1'
_space_group_name_H-M_alt 'P 1'
_space_group_IT_number 1
_space_group_name_Hall 'P 1'
_cell_length_a 2.758
_cell_length_b 2.758
_cell_length_c 6.930
_cell_angle_alpha 97.59
_cell_angle_beta 97.59
_cell_angle_gamma 109.65
loop_
_atom_site_label
_atom_site_fract_x
_atom_site_fract_y
_atom_site_fract_z
_atom_site_occupancy
Mo1 0.997 0.997 0.994 1
Nb1 0.666 0.666 0.332 1
W1 0.337 0.337 0.673 1

No. 2
# ZrNbMo2 | Alexandria | GGA-PBEsol | relaxed
# Energy of formation from the pure elements (eV/atom): -0.0103
# Fermi-level density of states (states/eV/f.u.): 4.48
# Total magnetization (μB per atom): 0.000
data_ZrNbMo2
_chemical_formula_sum 'Zr1 Nb1 Mo2'
_space_group_name_H-M_alt 'P 1'
_space_group_IT_number 1
_space_group_name_Hall 'P 1'
_cell_length_a 4.589
_cell_length_b 4.589
_cell_length_c 4.589
_cell_angle_alpha 60.00
_cell_angle_beta 60.00
_cell_angle_gamma 60.00
loop_
_atom_site_label
_atom_site_fract_x
_atom_site_fract_y
_atom_site_fract_z
_atom_site_occupancy
Mo1 0.250 0.250 0.250 1
Mo2 0.750 0.750 0.750 1
Nb1 0.500 0.500 0.500 1
Zr1 0.000 0.000 0.000 1

No. 3
# Nd2Mo3O12 | Alexandria | GGA-PBEsol | relaxed
# ΔE_f (raw) (eV/f.u.): -42.83
# Fermi-level density of states (states/eV/f.u.): 0.00
# Total magnetization (μB per atom): 0.000
data_Nd2Mo3O12
_chemical_formula_sum 'Nd4 Mo6 O24'
_space_group_name_H-M_alt 'P 1'
_space_group_IT_number 1
_space_group_name_Hall 'P 1'
_cell_length_a 6.886
_cell_length_b 6.886
_cell_length_c 11.753
_cell_angle_alpha 99.83
_cell_angle_beta 99.83
_cell_angle_gamma 114.16
loop_
_atom_site_label
_atom_site_fract_x
_atom_site_fract_y
_atom_site_fract_z
_atom_site_occupancy
Nd1 0.545 0.792 0.590 1
Nd2 0.208 0.455 0.910 1
Nd3 0.455 0.208 0.410 1
Nd4 0.792 0.545 0.090 1
Mo1 0.627 0.373 0.750 1
Mo2 0.284 0.037 0.073 1
Mo3 0.373 0.627 0.250 1
Mo4 0.963 0.716 0.427 1
Mo5 0.037 0.284 0.573 1
Mo6 0.716 0.963 0.927 1
O1 0.582 0.171 0.615 1
O2 0.704 0.628 0.718 1
O3 0.829 0.418 0.885 1
O4 0.982 0.073 0.903 1
O5 0.282 0.837 0.958 1
O6 0.018 0.927 0.097 1
O7 0.393 0.308 0.044 1
O8 0.455 0.060 0.209 1
O9 0.171 0.582 0.115 1
O10 0.296 0.372 0.282 1
O11 0.628 0.704 0.218 1
O12 0.940 0.545 0.291 1
O13 0.418 0.829 0.385 1
O14 0.692 0.607 0.456 1
O15 0.073 0.982 0.403 1
O16 0.163 0.718 0.542 1
O17 0.837 0.282 0.458 1
O18 0.927 0.018 0.597 1
O19 0.308 0.393 0.544 1
O20 0.060 0.455 0.709 1
O21 0.372 0.296 0.782 1
O22 0.545 0.940 0.791 1
O23 0.607 0.692 0.956 1
O24 0.718 0.163 0.042 1

- Look up the Fermi-level density of states of the third one.
  0.00 states/eV/f.u.

- Fermi-level density of states of number 1 (NbMoW)?
  1.51 states/eV/f.u.

- The lowest Fermi-level density of states belongs to which entry?
  Nd2Mo3O12